Crystalline SiTcB4 at its relaxed geometry, computed with PBE.

Output
Offset from the most stable computed form = 0 meV/atom
Magnetic moment = 0.0 μB per formula unit
Uncorrected energy = -41.5 eV per cell
Mass density = 5.44 Mg/m³

a b c (Å): 4.4815 4.4815 4.4815
angles (deg): 141.44 107.72 85.04
Atoms (fractional coordinates):
Si 0.0000 0.0000 0.0000
Tc 0.5000 0.5000 0.0000
B 0.0767 0.7392 0.3375
B 0.4018 0.7392 0.6625
B 0.5982 0.2608 0.3375
B 0.9233 0.2608 0.6625

=====

Crystalline ThSiB at its relaxed geometry, computed with PBE.

Output
Offset from the most stable computed form = 0 meV/atom
Magnetic moment = 0.0 μB per formula unit
Uncorrected energy = -19.2 eV per cell
Mass density = 8.03 Mg/m³

a b c (Å): 4.2950 4.2950 4.2950
angles (deg): 60.00 60.00 60.00
Atoms (fractional coordinates):
Th 0.0000 0.0000 0.0000
Si 0.5000 0.5000 0.5000
B 0.7500 0.7500 0.7500

=====

Crystalline SiB2W2 at its relaxed geometry, computed with PBE.

Output
Magnetic moment = 0.0 μB per formula unit
Uncorrected energy = -45.5 eV per cell
Mass density = 12.75 Mg/m³

a b c (Å): 5.8553 5.8553 3.1395
angles (deg): 90.00 90.00 149.66
Atoms (fractional coordinates):
Si 0.0000 0.0000 0.0000
B 0.2069 0.7931 0.0000
B 0.7931 0.2069 0.0000
W 0.3638 0.6362 0.5000
W 0.6362 0.3638 0.5000

=====

Crystalline SiB3W4 at its relaxed geometry, computed with PBE.

Output
Magnetic moment = 0.0 μB per formula unit
Uncorrected energy = -157.2 eV per cell
Mass density = 13.52 Mg/m³

a b c (Å): 3.1827 3.1827 22.2816
angles (deg): 90.00 90.00 120.00
Atoms (fractional coordinates):
Si 0.3333 0.6667 0.2500
Si 0.6667 0.3333 0.7500
B 0.0000 0.0000 0.0000
B 0.0000 0.0000 0.5000
B 0.3333 0.6667 0.6159
B 0.3333 0.6667 0.8841
B 0.6667 0.3333 0.1159
B 0.6667 0.3333 0.3841
W 0.0000 0.0000 0.1694
W 0.0000 0.0000 0.3306
W 0.0000 0.0000 0.6694
W 0.0000 0.0000 0.8306
W 0.3333 0.6667 0.0597
W 0.3333 0.6667 0.4403
W 0.6667 0.3333 0.5597
W 0.6667 0.3333 0.9403

=====

Crystalline ZnSiB at its relaxed geometry, computed with PBE.

Output
Offset from the most stable computed form = 0 meV/atom
Uncorrected energy = -11.6 eV per cell
Mass density = 4.64 Mg/m³

a b c (Å): 3.7508 3.7508 3.7508
angles (deg): 60.00 60.00 60.00
Atoms (fractional coordinates):
Zn 0.0000 0.0000 0.0000
Si 0.5000 0.5000 0.5000
B 0.7500 0.7500 0.7500

=====

Crystalline ZnSiB4 at its relaxed geometry, computed with PBE.

Output
Offset from the most stable computed form = 0 meV/atom
Uncorrected energy = -31.1 eV per cell
Mass density = 4.29 Mg/m³

a b c (Å): 4.5010 4.5010 4.5010
angles (deg): 140.77 108.45 84.78
Atoms (fractional coordinates):
Zn 0.0000 0.0000 0.0000
Si 0.5000 0.5000 0.0000
B 0.0855 0.7519 0.3336
B 0.4183 0.7519 0.6664
B 0.5817 0.2481 0.3336
B 0.9145 0.2481 0.6664

=====

Crystalline ZnSiB2 at its relaxed geometry, computed with PBE.

Output
Uncorrected energy = -14.1 eV per cell
Mass density = 4.27 Mg/m³

a b c (Å): 3.9858 3.9858 3.9858
angles (deg): 60.00 60.00 60.00
Atoms (fractional coordinates):
Zn 0.0000 0.0000 0.0000
Si 0.7500 0.7500 0.7500
B 0.2500 0.2500 0.2500
B 0.5000 0.5000 0.5000

=====

Crystalline ZnSiB4 at its relaxed geometry, computed with PBE.

Output
Offset from the most stable computed form = 7 meV/atom
Uncorrected energy = -31.0 eV per cell
Mass density = 4.26 Mg/m³

a b c (Å): 3.0125 3.0125 6.7775
angles (deg): 90.00 90.00 120.00
Atoms (fractional coordinates):
Zn 0.0000 0.0000 0.0000
Si 0.0000 0.0000 0.5000
B 0.3333 0.6667 0.2601
B 0.3333 0.6667 0.7399
B 0.6667 0.3333 0.2601
B 0.6667 0.3333 0.7399

=====

Crystalline ZnSi2B at its relaxed geometry, computed with PBE.

Output
Uncorrected energy = -14.9 eV per cell
Mass density = 4.17 Mg/m³

a b c (Å): 4.2080 4.2080 4.2080
angles (deg): 60.00 60.00 60.00
Atoms (fractional coordinates):
Zn 0.0000 0.0000 0.0000
Si 0.2500 0.2500 0.2500
Si 0.5000 0.5000 0.5000
B 0.7500 0.7500 0.7500

=====

Crystalline Zr4SiB3 at its relaxed geometry, computed with PBE.

Output
Magnetic moment = 0.0 μB per formula unit
Uncorrected energy = -126.4 eV per cell
Mass density = 5.49 Mg/m³

a b c (Å): 3.4475 3.4475 25.0156
angles (deg): 90.00 90.00 120.00
Atoms (fractional coordinates):
Zr 0.0000 0.0000 0.1686
Zr 0.0000 0.0000 0.3314
Zr 0.0000 0.0000 0.6686
Zr 0.0000 0.0000 0.8314
Zr 0.3333 0.6667 0.0579
Zr 0.3333 0.6667 0.4421
Zr 0.6667 0.3333 0.5579
Zr 0.6667 0.3333 0.9421
Si 0.3333 0.6667 0.2500
Si 0.6667 0.3333 0.7500
B 0.0000 0.0000 0.0000
B 0.0000 0.0000 0.5000
B 0.3333 0.6667 0.6161
B 0.3333 0.6667 0.8839
B 0.6667 0.3333 0.1161
B 0.6667 0.3333 0.3839

=====

Crystalline ZrSi2B at its relaxed geometry, computed with PBE.

Output
Magnetic moment = 0.1 μB per formula unit
Uncorrected energy = -23.4 eV per cell
Mass density = 4.43 Mg/m³

a b c (Å): 4.3766 4.3766 4.3766
angles (deg): 60.00 60.00 60.00
Atoms (fractional coordinates):
Zr 0.0000 0.0000 0.0000
Si 0.2500 0.2500 0.2500
Si 0.5000 0.5000 0.5000
B 0.7500 0.7500 0.7500

=====

Crystalline Zr2SiB2 at its relaxed geometry, computed with PBE.

Output
Magnetic moment = 0.0 μB per formula unit
Uncorrected energy = -39.2 eV per cell
Mass density = 5.74 Mg/m³

a b c (Å): 6.0942 6.0942 3.6317
angles (deg): 90.00 90.00 150.11
Atoms (fractional coordinates):
Zr 0.1349 0.8651 0.0000
Zr 0.8651 0.1349 0.0000
Si 0.5000 0.5000 0.5000
B 0.2826 0.7174 0.5000
B 0.7174 0.2826 0.5000

=====

The highest mass density belongs to which entry? SiB3W4